*P*
First-principles (PBE-GGA) data for Rb2BaSnCl6 after structural relaxation, as listed in Alexandria via LeMat-Bulk.

```
Rb2BaSnCl6
1.0
0.000 5.827 5.827
5.827 0.000 5.827
5.827 5.827 0.000
Rb Ba Sn Cl
2 1 1 6
Cartesian
2.913 2.913 2.913
8.740 8.740 8.740
0.000 0.000 0.000
5.827 5.827 5.827
5.827 5.827 3.005
5.827 3.005 5.827
8.649 5.827 5.827
3.005 5.827 5.827
5.827 8.649 5.827
5.827 5.827 8.649
```


*Q*
First-principles (PBE-GGA) data for Rb2BaSnCl6 after structural relaxation, as listed in Alexandria via LeMat-Bulk.

```
Rb2BaSnCl6
1.0
7.829 0.000 0.000
0.000 8.211 0.000
-7.677 0.000 11.237
Rb Ba Sn Cl
4 2 2 12
Cartesian
-0.155 0.557 2.794
-3.994 3.548 8.413
4.146 4.662 2.824
0.308 7.654 8.443
3.915 0.000 0.000
0.076 4.105 5.619
-3.838 0.000 5.619
0.000 4.105 0.000
-6.214 1.725 10.534
-2.375 2.380 4.915
-5.396 5.699 10.562
-1.558 6.617 4.943
-2.892 0.364 8.310
0.946 3.742 2.691
-0.794 4.469 8.546
3.044 7.847 2.928
1.710 1.594 6.294
5.549 2.511 0.675
2.528 5.830 6.322
6.366 6.486 0.703
```


So which one is most stable? That would be *Q*, about 6.2 kJ/mol of atoms below the next structure.


*P*
First-principles (PBE-GGA) data for Rb2BaSrCl6 after structural relaxation, as listed in Alexandria via LeMat-Bulk.

```
Rb2BaSrCl6
1.0
7.909 0.000 0.000
0.000 8.258 0.000
-7.845 0.000 11.230
Rb Ba Sr Cl
4 2 2 12
Cartesian
-0.175 0.535 2.808
-4.097 3.594 8.422
4.162 4.664 2.807
0.240 7.723 8.422
3.955 0.000 0.000
0.032 4.129 5.615
-3.922 0.000 5.615
0.000 4.129 0.000
-6.319 1.751 10.487
-2.397 2.378 4.872
-5.549 5.768 10.523
-1.627 6.620 4.908
-2.944 0.413 8.328
0.978 3.717 2.713
-0.913 4.542 8.516
3.009 7.846 2.902
1.692 1.639 6.322
5.614 2.490 0.707
2.462 5.880 6.358
6.384 6.507 0.743
```


*Q*
First-principles (PBE-GGA) data for Rb2BaSrCl6 after structural relaxation, as listed in Alexandria via LeMat-Bulk.

```
Rb2BaSrCl6
1.0
0.000 5.866 5.866
5.866 0.000 5.866
5.866 5.866 0.000
Rb Ba Sr Cl
2 1 1 6
Cartesian
2.933 2.933 2.933
8.799 8.799 8.799
0.000 0.000 0.000
5.866 5.866 5.866
5.866 5.866 3.011
5.866 3.011 5.866
8.721 5.866 5.866
3.011 5.866 5.866
5.866 8.721 5.866
5.866 5.866 8.721
```


So which one is most stable? That would be *P*, about 6.4 kJ/mol of atoms below the next structure.


*P*
First-principles (PBE-GGA) data for BaReCl after structural relaxation, as listed in Alexandria via LeMat-Bulk.

```
BaReCl
1.0
0.000 3.691 3.691
3.691 0.000 3.691
3.691 3.691 0.000
Ba Re Cl
1 1 1
Cartesian
0.000 0.000 0.000
3.691 3.691 3.691
1.846 1.846 1.846
```


*Q*
First-principles (PBE-GGA) data for BaReCl after structural relaxation, as listed in Alexandria via LeMat-Bulk.

```
BaReCl
1.0
0.000 3.889 3.889
3.889 0.000 3.889
3.889 3.889 0.000
Ba Re Cl
1 1 1
Cartesian
0.000 0.000 0.000
1.945 1.945 1.945
5.834 5.834 5.834
```


*R*
First-principles (PBE-GGA) data for BaReCl after structural relaxation, as listed in Alexandria via LeMat-Bulk.

```
BaReCl
1.0
3.467 0.000 0.000
-1.734 3.003 0.000
0.000 0.000 7.217
Ba Re Cl
1 1 1
Cartesian
0.000 0.000 0.000
1.734 1.001 4.647
0.000 2.002 2.591
```


So which one is most stable? That would be *R*, about 2.0 kJ/mol of atoms below the next structure.


*P*
First-principles (PBE-GGA) data for BaReCl after structural relaxation, as listed in Alexandria via LeMat-Bulk.

```
BaReCl
1.0
0.000 3.763 3.763
3.763 0.000 3.763
3.763 3.763 0.000
Ba Re Cl
1 1 1
Cartesian
0.000 0.000 0.000
1.881 1.881 1.881
3.763 3.763 3.763
```


*Q*
First-principles (PBE-GGA) data for BaReCl after structural relaxation, as listed in Alexandria via LeMat-Bulk.

```
BaReCl
1.0
0.000 2.478 6.666
2.446 0.000 6.666
2.446 2.478 0.000
Ba Re Cl
1 1 1
Cartesian
0.000 0.000 0.000
2.446 2.478 4.287
2.446 2.478 8.740
```


So which one is most stable? That would be *Q*, about 37.0 kJ/mol of atoms below the next structure.


*P*
First-principles (PBE-GGA) data for BaRe3Cl after structural relaxation, as listed in Alexandria via LeMat-Bulk.

```
BaRe3Cl
1.0
6.218 0.000 0.000
0.000 6.218 0.000
0.000 0.000 6.218
Ba Re Cl
1 3 1
Cartesian
0.000 0.000 0.000
0.000 0.000 3.109
0.000 3.109 0.000
3.109 0.000 0.000
3.109 3.109 3.109
```


*Q*
First-principles (PBE-GGA) data for BaRe3Cl after structural relaxation, as listed in Alexandria via LeMat-Bulk.

```
BaRe3Cl
1.0
4.634 0.000 0.000
0.000 4.634 0.000
0.000 0.000 4.634
Ba Re Cl
1 3 1
Cartesian
0.000 0.000 0.000
0.000 2.317 2.317
2.317 0.000 2.317
2.317 2.317 0.000
2.317 2.317 2.317
```


So which one is most stable? That would be *Q*, about 189.3 kJ/mol of atoms below the next structure.


*P*
First-principles (PBE-GGA) data for BaRhCl after structural relaxation, as listed in Alexandria via LeMat-Bulk.

```
BaRhCl
1.0
4.633 0.000 0.000
-2.316 5.972 0.000
-0.007 -0.484 6.543
Ba Rh Cl
2 2 2
Cartesian
0.000 0.000 0.000
0.002 3.102 3.188
-2.312 5.709 3.411
2.321 0.375 3.156
-0.007 3.369 6.334
2.317 1.809 1.261
```


*Q*
First-principles (PBE-GGA) data for BaRhCl after structural relaxation, as listed in Alexandria via LeMat-Bulk.

```
BaRhCl
1.0
0.000 3.797 5.287
2.237 0.000 5.287
2.237 3.797 0.000
Ba Rh Cl
1 1 1
Cartesian
0.000 0.000 0.000
2.237 3.797 3.188
2.237 3.797 7.604
```


So which one is most stable? That would be *P*, about 57.0 kJ/mol of atoms below the next structure.


*P*
First-principles (PBE-GGA) data for BaRhCl after structural relaxation, as listed in Alexandria via LeMat-Bulk.

```
BaRhCl
1.0
4.450 0.000 0.000
-2.225 3.854 0.000
0.000 0.000 4.184
Ba Rh Cl
1 1 1
Cartesian
0.000 0.000 0.000
0.000 2.569 2.092
2.225 1.285 2.092
```


*Q*
First-principles (PBE-GGA) data for BaRhCl after structural relaxation, as listed in Alexandria via LeMat-Bulk.

```
BaRhCl
1.0
4.996 0.000 0.000
0.000 4.996 0.000
0.000 0.000 6.046
Ba Rh Cl
2 2 2
Cartesian
1.249 1.249 1.035
3.747 3.747 5.011
1.249 1.249 4.446
3.747 3.747 1.600
1.249 3.747 3.023
3.747 1.249 3.023
```


*R*
First-principles (PBE-GGA) data for BaRhCl after structural relaxation, as listed in Alexandria via LeMat-Bulk.

```
BaRhCl
1.0
5.211 0.000 0.000
-2.605 4.513 0.000
0.000 0.000 9.002
Ba Rh Cl
2 2 2
Cartesian
0.000 3.009 2.251
2.605 1.504 6.752
0.000 0.000 0.000
0.000 0.000 4.501
0.000 0.000 2.251
0.000 0.000 6.752
```


So which one is most stable? That would be *P*, about 15.0 kJ/mol of atoms below the next structure.


*P*
First-principles (PBE-GGA) data for BaRhCl after structural relaxation, as listed in Alexandria via LeMat-Bulk.

```
BaRhCl
1.0
8.483 -2.291 0.000
8.483 2.291 0.000
-0.004 0.000 4.240
Ba Rh Cl
2 2 2
Cartesian
1.935 0.000 1.063
15.027 0.000 3.176
7.834 0.000 1.059
9.128 0.000 3.180
5.329 0.000 1.055
11.633 0.000 3.184
```


*Q*
First-principles (PBE-GGA) data for BaRhCl after structural relaxation, as listed in Alexandria via LeMat-Bulk.

```
BaRhCl
1.0
4.413 0.000 0.000
-2.206 3.822 0.000
0.000 0.000 8.507
Ba Rh Cl
2 2 2
Cartesian
0.000 0.000 0.000
0.000 0.000 4.254
0.000 2.548 2.127
2.206 1.274 6.380
0.000 2.548 6.380
2.206 1.274 2.127
```


*R*
First-principles (PBE-GGA) data for BaRhCl after structural relaxation, as listed in Alexandria via LeMat-Bulk.

```
BaRhCl
1.0
-2.126 4.415 4.417
2.126 -4.415 4.417
2.126 4.415 -4.417
Ba Rh Cl
2 2 2
Cartesian
0.000 0.000 0.000
0.000 4.415 0.000
2.126 2.207 1.566
0.000 2.207 2.852
2.126 2.207 -0.920
0.000 2.207 5.337
```


*S*
First-principles (PBE-GGA) data for BaRhCl after structural relaxation, as listed in Alexandria via LeMat-Bulk.

```
BaRhCl
1.0
3.709 -2.255 0.000
3.709 2.255 0.000
-2.537 0.000 11.283
Ba Rh Cl
2 2 2
Cartesian
-0.025 0.000 2.468
4.907 0.000 8.815
2.400 0.000 0.015
2.482 0.000 11.267
0.037 0.000 7.166
4.845 0.000 4.117
```


So which one is most stable? That would be *S*, about 7.4 kJ/mol of atoms below the next structure.


*P*
First-principles (PBE-GGA) data for BaRhCl after structural relaxation, as listed in Alexandria via LeMat-Bulk.

```
BaRhCl
1.0
2.751 -10.718 0.000
2.751 10.718 0.000
-2.751 0.000 2.751
Ba Rh Cl
2 2 2
Cartesian
2.751 8.083 0.000
2.751 -8.083 0.000
-1.375 0.000 1.383
1.371 0.000 1.388
0.001 4.054 2.751
0.001 -4.054 2.751
```


*Q*
First-principles (PBE-GGA) data for BaRhCl after structural relaxation, as listed in Alexandria via LeMat-Bulk.

```
BaRhCl
1.0
5.623 -2.510 0.000
5.623 2.510 0.000
-0.853 0.000 6.068
Ba Rh Cl
2 2 2
Cartesian
0.000 0.000 0.000
2.265 0.000 3.380
3.123 0.000 0.395
8.310 0.000 0.761
6.270 0.000 4.765
9.716 0.000 2.818
```


*R*
First-principles (PBE-GGA) data for BaRhCl after structural relaxation, as listed in Alexandria via LeMat-Bulk.

```
BaRhCl
1.0
-1.834 1.834 5.502
1.834 -1.834 5.502
1.834 1.834 -5.502
Ba Rh Cl
1 1 1
Cartesian
0.000 0.000 0.000
0.000 0.000 7.335
0.000 0.000 3.447
```


So which one is most stable? That would be *P*, about 18.5 kJ/mol of atoms below the next structure.


*P*
First-principles (PBE-GGA) data for Ba3RhCl after structural relaxation, as listed in Alexandria via LeMat-Bulk.

```
Ba3RhCl
1.0
4.174 -7.131 0.000
4.174 7.131 0.000
-2.876 0.000 7.369
Ba Rh Cl
6 2 2
Cartesian
-0.221 2.628 5.689
0.983 0.000 1.833
-0.221 -2.628 5.689
5.692 2.628 1.680
4.488 0.000 5.535
5.692 -2.628 1.680
4.174 4.727 0.000
4.174 -4.727 0.000
1.387 0.000 5.147
4.084 0.000 2.222
```


*Q*
First-principles (PBE-GGA) data for Ba3RhCl after structural relaxation, as listed in Alexandria via LeMat-Bulk.

```
Ba3RhCl
1.0
6.087 0.000 0.000
0.000 6.087 0.000
0.000 0.000 6.087
Ba Rh Cl
3 1 1
Cartesian
0.000 0.000 3.043
0.000 3.043 0.000
3.043 0.000 0.000
0.000 0.000 0.000
3.043 3.043 3.043
```


So which one is most stable? That would be *P*, about 28.0 kJ/mol of atoms below the next structure.